K2LiZnRu | PBE | relaxed

Properties
Electronic total energy: -8.87 eV/cell
Formation enthalpy at 0 K: 1.157 eV per atom
SG: P4/mmm, No. 123

Cell and atoms, written as extended XYZ:
```
5
Lattice="6.0021 0.0000 0.0000 0.0000 6.0021 0.0000 0.0000 0.0000 4.8890" Properties=species:S:1:pos:R:3 pbc="T T T"
K 0.0000 3.0010 0.0000
K 3.0010 0.0000 0.0000
Li 0.0000 0.0000 0.0000
Zn 0.0000 0.0000 2.4445
Ru 3.0010 3.0010 2.4445
```

=====

KLi3S | PBE | relaxed

Properties
Electronic total energy: -13.53 eV/cell
Energy relative to the lowest polymorph listed for this composition: 0.000 eV/atom
SG: Pm-3m, No. 221

Cell and atoms, written as extended XYZ:
```
5
Lattice="4.9776 0.0000 0.0000 0.0000 4.9776 0.0000 0.0000 0.0000 4.9776" Properties=species:S:1:pos:R:3 pbc="T T T"
K 0.0000 0.0000 0.0000
Li 0.0000 2.4888 2.4888
Li 2.4888 0.0000 2.4888
Li 2.4888 2.4888 0.0000
S 2.4888 2.4888 2.4888
```

=====

KLi3S | PBE | relaxed

Properties
Electronic total energy: -7.72 eV/cell
Energy relative to the lowest polymorph listed for this composition: 1.162 eV/atom
SG: Pm-3m, No. 221

Cell and atoms, written as extended XYZ:
```
5
Lattice="5.3758 0.0000 0.0000 0.0000 5.3758 0.0000 0.0000 0.0000 5.3758" Properties=species:S:1:pos:R:3 pbc="T T T"
K 0.0000 0.0000 0.0000
Li 0.0000 0.0000 2.6879
Li 0.0000 2.6879 0.0000
Li 2.6879 0.0000 0.0000
S 2.6879 2.6879 2.6879
```

=====

KLiS2 | PBE | relaxed

Properties
Electronic total energy: -29.46 eV/cell
Energy relative to the lowest polymorph listed for this composition: 0.000 eV/atom
SG: I-42d, No. 122

Cell and atoms, written as extended XYZ:
```
8
Lattice="-2.4681 2.4681 7.9225 2.4681 -2.4681 7.9225 2.4681 2.4681 -7.9225" Properties=species:S:1:pos:R:3 pbc="T T T"
K 0.0000 0.0000 0.0000
K 0.0000 2.4681 3.9612
Li 2.4681 0.0000 3.9612
Li 0.0000 0.0000 7.9225
S 1.2341 2.1996 -1.9806
S 2.7367 1.2341 1.9806
S 1.2341 0.2686 5.9419
S -0.2686 1.2341 9.9031
```